(1)
VASP calculation (GGA-PBE) on a relaxed structure of ReMoW.

crystal system = orthorhombic
total DFT energy (no corrections) = -143.91 eV/cell
N(E_F) = 2.30 states/eV/f.u.
excess energy over the best structure of this formula in the dataset = 32 meV per atom
ΔH_f (0 K) = 0.085 eV per atom

```
data_ReMoW
_symmetry_space_group_name_H-M 'P 1'
_symmetry_Int_Tables_number 1
_symmetry_space_group_name_Hall 'P 1'
_cell_length_a 3.1596
_cell_length_b 4.4731
_cell_length_c 13.3275
_cell_angle_alpha 90.00
_cell_angle_beta 90.00
_cell_angle_gamma 90.00
loop_
_atom_site_label
_atom_site_fract_x
_atom_site_fract_y
_atom_site_fract_z
_atom_site_occupancy
Re1 0.0000 0.0000 0.0000 1
Re2 0.0000 0.5000 0.5000 1
Re3 0.5000 0.0000 0.5000 1
Re4 0.5000 0.5000 0.0000 1
Mo1 0.0000 0.0000 0.3343 1
Mo2 0.0000 0.5000 0.8343 1
Mo3 0.5000 0.0000 0.8343 1
Mo4 0.5000 0.5000 0.3343 1
W1 0.0000 0.0000 0.6658 1
W2 0.0000 0.5000 0.1658 1
W3 0.5000 0.0000 0.1658 1
W4 0.5000 0.5000 0.6658 1
```

(2)
VASP calculation (GGA-PBE) on a relaxed structure of PbSeBr2.

crystal system = trigonal
total DFT energy (no corrections) = -32.61 eV/cell
N(E_F) = 2.66 states/eV/f.u.
formation energy (no corrections) = -0.3 eV/f.u.
excess energy over the best structure of this formula in the dataset = 381 meV per atom

```
data_PbSeBr2
_symmetry_space_group_name_H-M 'P 1'
_symmetry_Int_Tables_number 1
_symmetry_space_group_name_Hall 'P 1'
_cell_length_a 4.0748
_cell_length_b 4.0748
_cell_length_c 28.4213
_cell_angle_alpha 90.00
_cell_angle_beta 90.00
_cell_angle_gamma 120.00
loop_
_atom_site_label
_atom_site_fract_x
_atom_site_fract_y
_atom_site_fract_z
_atom_site_occupancy
Pb1 0.0000 0.0000 0.0000 1
Pb2 0.3333 0.6667 0.6667 1
Pb3 0.6667 0.3333 0.3333 1
Se1 0.0000 0.0000 0.5000 1
Se2 0.3333 0.6667 0.1667 1
Se3 0.6667 0.3333 0.8333 1
Br1 0.0000 0.0000 0.4064 1
Br2 0.0000 0.0000 0.5936 1
Br3 0.3333 0.6667 0.0731 1
Br4 0.3333 0.6667 0.2603 1
Br5 0.6667 0.3333 0.7397 1
Br6 0.6667 0.3333 0.9269 1
```

(3)
VASP calculation (GGA-PBE) on a relaxed structure of GaAg3Cl.

crystal system = cubic
total DFT energy (no corrections) = -10.62 eV/cell
N(E_F) = 3.22 states/eV/f.u.
formation energy (no corrections) = 2.8 eV/f.u.
excess energy over the best structure of this formula in the dataset = 152 meV per atom

```
data_GaAg3Cl
_symmetry_space_group_name_H-M 'P 1'
_symmetry_Int_Tables_number 1
_symmetry_space_group_name_Hall 'P 1'
_cell_length_a 5.0523
_cell_length_b 5.0523
_cell_length_c 5.0523
_cell_angle_alpha 90.00
_cell_angle_beta 90.00
_cell_angle_gamma 90.00
loop_
_atom_site_label
_atom_site_fract_x
_atom_site_fract_y
_atom_site_fract_z
_atom_site_occupancy
Ga1 0.0000 0.0000 0.0000 1
Ag1 0.0000 0.5000 0.5000 1
Ag2 0.5000 0.0000 0.5000 1
Ag3 0.5000 0.5000 0.0000 1
Cl1 0.5000 0.5000 0.5000 1
```

(4)
VASP calculation (GGA-PBE) on a relaxed structure of MnRhSe2.

crystal system = trigonal
total DFT energy (no corrections) = -72.58 eV/cell
N(E_F) = 3.70 states/eV/f.u.
formation energy (no corrections) = -0.7 eV/f.u.
excess energy over the best structure of this formula in the dataset = 152 meV per atom

```
data_MnRhSe2
_symmetry_space_group_name_H-M 'P 1'
_symmetry_Int_Tables_number 1
_symmetry_space_group_name_Hall 'P 1'
_cell_length_a 3.7665
_cell_length_b 3.7665
_cell_length_c 20.2026
_cell_angle_alpha 90.00
_cell_angle_beta 90.00
_cell_angle_gamma 120.00
loop_
_atom_site_label
_atom_site_fract_x
_atom_site_fract_y
_atom_site_fract_z
_atom_site_occupancy
Mn1 0.0000 0.0000 0.0000 1
Mn2 0.3333 0.6667 0.6667 1
Mn3 0.6667 0.3333 0.3333 1
Rh1 0.0000 0.0000 0.2534 1
Rh2 0.3333 0.6667 0.9201 1
Rh3 0.6667 0.3333 0.5867 1
Se1 0.0000 0.0000 0.5376 1
Se2 0.0000 0.0000 0.7251 1
Se3 0.3333 0.6667 0.2043 1
Se4 0.3333 0.6667 0.3918 1
Se5 0.6667 0.3333 0.0585 1
Se6 0.6667 0.3333 0.8709 1
```